This record from Alexandria via LeMat-Bulk describes an optimized crystal structure of ScCo2Si. The functional is PBEsol.

Output
* DOS at the Fermi energy: 4.08 states/eV/f.u.
* magnetization: 7.2 μB/cell
* E_tot: -6.88 eV per atom
* V: 13.43 Å³ per atom
* ΔE_f (raw): 0.0745 eV per atom

CIF file:
```
data_ScCo2Si
_chemical_formula_sum 'Sc3 Co6 Si3'
_cell_length_a 2.7878
_cell_length_b 2.7878
_cell_length_c 23.9405
_cell_angle_alpha 90.00
_cell_angle_beta 90.00
_cell_angle_gamma 120.00
_space_group_name_H-M_alt 'R 3 m'
_space_group_IT_number 160
_space_group_name_Hall 'R 3 -2"'
loop_
_atom_site_label
_atom_site_type_symbol
_atom_site_fract_x
_atom_site_fract_y
_atom_site_fract_z
_atom_site_occupancy
Sc1 Sc 0.0000 0.0000 0.0000 1
Co1 Co 0.0000 0.0000 0.4974 1
Co2 Co 0.0000 0.0000 0.7540 1
Si1 Si 0.0000 0.0000 0.2340 1
```